[1]
{
  "formula": "KSiW",
  "functional": "PBE",
  "state": "optimized geometry",
  "sg": "Imm2",
  "e_above_lowest_polymorph_mev_per_atom": 0,
  "vol_a3_per_cell": 73.38,
  "magmom_total_mub_per_cell": 0.00,
  "formation_energy_uncorrected_ev_per_atom": 0.64,
  "lattice_angstrom": [[6.813, 0.003, 0.000], [4.934, 4.699, 0.000], [-5.477, -3.342, 2.293]],
  "species": ["K", "Si", "W"],
  "fractional_positions": [[0.005, 0.005, 0.000], [0.258, 0.258, 0.000], [0.737, 0.737, 0.000]]
}

[2]
{
  "formula": "KSiW2",
  "functional": "PBE",
  "state": "optimized geometry",
  "sg": "Pmmm",
  "vol_a3_per_cell": 73.22,
  "magmom_total_mub_per_cell": 0.00,
  "formation_energy_uncorrected_ev_per_atom": 1.48,
  "lattice_angstrom": [[-2.201, 0.826, -1.329], [-3.024, -3.068, 3.102], [-0.540, 3.863, 3.295]],
  "species": ["K", "Si", "W", "W"],
  "fractional_positions": [[0.500, 0.000, 0.500], [0.000, 0.500, 0.500], [0.000, 0.000, 0.000], [0.500, 0.500, 0.000]]
}

[3]
{
  "formula": "KSi2W",
  "functional": "PBE",
  "state": "optimized geometry",
  "sg": "Fm-3m",
  "e_above_lowest_polymorph_mev_per_atom": 825,
  "vol_a3_per_cell": 72.09,
  "magmom_total_mub_per_cell": 1.39,
  "formation_energy_uncorrected_ev_per_atom": 1.05,
  "lattice_angstrom": [[-3.540, 0.434, 3.017], [-2.078, 4.143, 0.582], [-4.344, 0.677, -1.579]],
  "species": ["K", "Si", "Si", "W"],
  "fractional_positions": [[0.000, 0.000, 0.000], [0.250, 0.250, 0.250], [0.750, 0.750, 0.750], [0.500, 0.500, 0.500]]
}

[4]
{
  "formula": "KSi4W",
  "functional": "PBE",
  "state": "optimized geometry",
  "sg": "F-43m",
  "vol_a3_per_cell": 97.26,
  "magmom_total_mub_per_cell": 0.00,
  "formation_energy_uncorrected_ev_per_atom": 0.84,
  "lattice_angstrom": [[0.000, 3.650, 3.650], [3.650, 0.000, 3.650], [3.650, 3.650, 0.000]],
  "species": ["K", "Si", "Si", "Si", "Si", "W"],
  "fractional_positions": [[0.000, 0.000, 0.000], [0.865, 0.378, 0.378], [0.378, 0.378, 0.865], [0.378, 0.865, 0.378], [0.378, 0.378, 0.378], [0.750, 0.750, 0.750]]
}